Entry 1:
First-principles (GGA-PBE) data for a geometry-optimized Rb2ReO3 structure, as listed in the Open Quantum Materials Database.

Unit cell a=10.3041 b=7.2789 c=5.9622 alpha=90.00 beta=90.00 gamma=90.00
Space group Cmcm (No. 63)
Inequivalent atoms, fractional coordinates:
Rb 0.1687 0.1489 0.2500 (multiplicity 8)
Re 0.0000 0.4124 0.7500 (multiplicity 4)
O 0.0000 0.1557 0.7500 (multiplicity 4)
O 0.1157 0.5000 0.0000 (multiplicity 8)

***

Entry 2:
First-principles (GGA-PBE) data for a geometry-optimized RbRe2O4 structure, as listed in the Open Quantum Materials Database.

Unit cell a=6.5289 b=6.5289 c=9.5598 alpha=90.00 beta=90.00 gamma=90.00
Space group I4_1/amd (No. 141, origin choice 2)
Inequivalent atoms, fractional coordinates:
Rb 0.0000 0.2500 0.3750 (multiplicity 4)
Re 0.0000 0.0000 0.0000 (multiplicity 8)
O 0.0000 0.0538 0.7835 (multiplicity 16)

***

| no. | uncorrected energy (eV for the cell shown) |
| --- | --- |
| 1 | -146.8 |
| 2 | -207.9 |